Here is a relaxed CaPuHfN3 crystal from Alexandria via LeMat-Bulk. Energies are from PBE.

For the formation energy (no corrections), the calculation gives -723.7 kJ/mol of formula units. The calculation puts the magnetic moment at 0.827 μB/atom.

It has space group P2_1/m (No. 11), with a = 6.6411 Å, b = 3.3215 Å, c = 9.0829 Å, α = 90.00°, β = 99.40° and γ = 90.00°. The asymmetric unit holds Ca at (0.0924, 0.2500, 0.3628), Pu at (0.2767, 0.2500, 0.9221), Hf at (0.4219, 0.7500, 0.6316), N at (0.1938, 0.2500, 0.6589), N at (0.3629, 0.7500, 0.3912) and N at (0.4722, 0.7500, 0.8789).

Here is a relaxed DySCl crystal from Alexandria via LeMat-Bulk. Energies are from PBE.

For the formation energy (no corrections), the calculation gives -633.0 kJ/mol of formula units. The calculation puts the magnetic moment at 0.000 μB/atom.

It has space group P2_1/m (No. 11), with a = 4.0000 Å, b = 5.3701 Å, c = 9.2310 Å, α = 90.00°, β = 99.85° and γ = 90.00°. The asymmetric unit holds Dy at (0.1991, 0.2500, 0.3714), S at (0.2186, 0.7500, 0.4208) and Cl at (0.3778, 0.7500, 0.8238).

Here is a relaxed AgPd3Au crystal from Alexandria via LeMat-Bulk. Energies are from PBE.

The calculation puts the energy above the most stable polymorph in this dataset at 5.18 eV per formula unit. The calculation puts the magnetic moment at 0.000 μB/atom.

It has space group Pm-3m (No. 221), with a = 4.9657 Å, b = 4.9657 Å, c = 4.9657 Å, α = 90.00°, β = 90.00° and γ = 90.00°. The asymmetric unit holds Ag at (0.0000, 0.0000, 0.0000), Pd at (0.0000, 0.5000, 0.5000) and Au at (0.5000, 0.5000, 0.5000).

Here is a relaxed PuThH4 crystal from Alexandria via LeMat-Bulk. Energies are from PBE.

The total DFT energy (no corrections) is -6.3050 eV/atom. The calculation puts the magnetic moment at 0.891 μB/atom.

It has space group P4/mmm (No. 123), with a = 3.8143 Å, b = 3.8143 Å, c = 5.3535 Å, α = 90.00°, β = 90.00° and γ = 90.00°. The asymmetric unit holds Pu at (0.0000, 0.0000, 0.0000), Th at (0.5000, 0.5000, 0.5000) and H at (0.0000, 0.5000, 0.2448).

Here is a relaxed C23Kr4 crystal from Alexandria via LeMat-Bulk. Energies are from PBE.

The total DFT energy (no corrections) is -6.1016 eV/atom. The calculation puts the magnetic moment at 0.000 μB/atom.

It has space group Pm-3n (No. 223), with a = 7.4106 Å, b = 7.4106 Å, c = 7.4106 Å, α = 90.00°, β = 90.00° and γ = 90.00°. The asymmetric unit holds C at (0.0000, 0.1348, 0.3001), C at (0.0000, 0.2500, 0.5000), C at (0.1880, 0.1880, 0.1880), Kr at (0.0000, 0.0000, 0.0000) and Kr at (0.0000, 0.5000, 0.2500).

Here is a relaxed TmThC crystal from Alexandria via LeMat-Bulk. Energies are from PBE.

The calculation puts the energy above the most stable polymorph in this dataset at 0.02 eV per formula unit. The calculation puts the magnetic moment at 0.000 μB/atom.

It has space group P2_1/c (No. 14), with a = 6.2025 Å, b = 7.1425 Å, c = 6.1893 Å, α = 90.00°, β = 90.66° and γ = 90.00°. The asymmetric unit holds Tm at (0.2135, 0.1252, 0.4207), Th at (0.2377, 0.6256, 0.4150) and C at (0.0031, 0.6251, 0.7475).

Here is a relaxed TaMo2N crystal from Alexandria via LeMat-Bulk. Energies are from PBE.

For the formation energy (no corrections), the calculation gives 123.7 kJ/mol of formula units. The calculation puts the magnetic moment at 0.000 μB/atom.

It has space group R-3m (No. 166, hexagonal axes), with a = 2.8517 Å, b = 2.8517 Å, c = 24.6917 Å, α = 90.00°, β = 90.00° and γ = 120.00°. The asymmetric unit holds Ta at (0.0000, 0.0000, 0.0000), Mo at (0.0000, 0.0000, 0.1094) and N at (0.0000, 0.0000, 0.5000).

Here is a relaxed Na3Li2Ge4 crystal from Alexandria via LeMat-Bulk. Energies are from PBE.

The total DFT energy (no corrections) is -3.0103 eV/atom. The calculation puts the magnetic moment at 0.000 μB/atom.

It has space group P-1 (No. 2), with a = 4.5294 Å, b = 5.8704 Å, c = 8.5839 Å, α = 78.48°, β = 88.65° and γ = 67.39°. The asymmetric unit holds Na at (0.0000, 0.0000, 0.0000), Na at (0.3641, 0.2638, 0.5969), Li at (0.3688, 0.2912, 0.2140), Ge at (0.0680, 0.8472, 0.6436) and Ge at (0.2445, 0.4792, 0.9032).